Record 1
DFT (PBE) results for crystalline TaFe2Sb at its relaxed geometry.

Properties
Uncorrected formation energy (meV/atom): 202
SG: P4mm (99)
D(E_F) (states/eV per cell): 4.0

a b c (Å): 3.2089 3.2089 6.1302
angles (deg): 90.00 90.00 90.00
Sites, in units of the cell vectors:
Ta: 0.0000 0.0000 0.0000
Fe: 0.0000 0.0000 0.4305
Fe: 0.5000 0.5000 0.2295
Sb: 0.5000 0.5000 0.6793

***

Record 2
DFT (PBE) results for crystalline TaFe2Sb at its relaxed geometry.

Properties
Uncorrected formation energy (meV/atom): 120
SG: Cm (8)
D(E_F) (states/eV per cell): 2.3

a b c (Å): 4.8165 4.8165 4.2432
angles (deg): 103.99 103.99 38.99
Sites, in units of the cell vectors:
Ta: 0.0000 0.0000 0.0000
Fe: 0.5020 0.5020 0.4977
Fe: 0.7307 0.7307 0.1188
Sb: 0.2383 0.2383 0.6279

***

The lowest D(E_F) belongs to which entry?
number 2

***

The highest uncorrected formation energy belongs to which entry?
number 1

***

Number 1 is which compound?
TaFe2Sb